An optimized crystal structure of Sr2Zn3GaAu4, computed with PBE.

Geometry as POSCAR:
```
Sr2Zn3GaAu4
1.0
4.657 0.000 0.000
0.000 4.657 0.000
0.000 0.000 10.192
Sr Zn Ga Au
2 3 1 4
direct
0.000 0.500 0.245
0.500 0.000 0.755
0.000 0.500 0.877
0.500 0.000 0.123
0.500 0.500 0.500
0.000 0.000 0.500
0.000 0.000 0.000
0.000 0.500 0.624
0.500 0.000 0.376
0.500 0.500 0.000
```

Results
Energy relative to the elements = -0.53 eV/atom



An optimized crystal structure of Pm2SmGe, computed with PBE.

Geometry as POSCAR:
```
Pm2SmGe
1.0
4.768 0.000 0.000
0.000 4.768 0.000
0.000 0.000 4.779
Pm Sm Ge
2 1 1
direct
0.000 0.500 0.000
0.500 0.000 0.000
0.000 0.000 0.500
0.500 0.500 0.500
```

Results
ΔE to the lowest computed polymorph = 0 meV/atom
Energy relative to the elements = -0.34 eV/atom



Magnetization (μB per atom)
0.00; 0.00
DOS(E_F) (states/eV per cell)
3.846; 4.316